# 1
A relaxed structure of KRb2H2. Source: the Alexandria database, functional PBE.

```
KRb2H2
1.0
-2.6680 2.6680 7.6820
2.6680 -2.6680 7.6820
2.6680 2.6680 -7.6820
K Rb H
1 2 2
direct
0.0000 0.0000 0.0000
0.3085 0.3085 0.0000
0.6915 0.6915 0.0000
0.2500 0.7500 0.5000
0.7500 0.2500 0.5000
```

Computed properties:
DOS at the Fermi energy   1.7 states/eV/f.u.
E   -0.071 hartree per atom
Total magnetic moment   0.00 μB per atom

# 2
A relaxed structure of TmPuBe2Si2. Source: the Alexandria database, functional PBE.

```
TmPuBe2Si2
1.0
3.8511 0.0000 0.0000
-1.9256 3.3352 0.0000
0.0000 0.0000 8.0460
Tm Pu Be Si
1 1 2 2
direct
0.0000 0.0000 0.0000
0.0000 0.0000 0.5000
0.3333 0.6667 0.2464
0.6667 0.3333 0.7536
0.3333 0.6667 0.7546
0.6667 0.3333 0.2454
```

Computed properties:
DOS at the Fermi energy   10.5 states/eV/f.u.
E   -0.245 hartree per atom
Total magnetic moment   0.92 μB per atom
Uncorrected formation energy   -11.14 kcal/mol of atoms

# 3
A relaxed structure of Tb8Er2Sc. Source: the Alexandria database, functional PBE.

```
Tb8Er2Sc
1.0
-2.7611 3.9718 7.9083
2.7611 -3.9718 7.9083
2.7611 3.9718 -7.9083
Tb Er Sc
8 2 1
direct
0.1574 0.3667 0.7907
0.1654 0.1654 0.0000
0.2850 0.0000 0.2850
0.4240 0.6333 0.7907
0.5760 0.3667 0.2093
0.7150 0.0000 0.7150
0.8346 0.8346 0.0000
0.8426 0.6333 0.2093
0.2999 0.7999 0.5000
0.7001 0.2001 0.5000
0.0000 0.5000 0.5000
```

Computed properties:
Energy relative to the elements   1.27 eV per formula unit
DOS at the Fermi energy   18.6 states/eV/f.u.
E   -0.171 hartree per atom
Total magnetic moment   0.00 μB per atom

# 4
A relaxed structure of ZrCu2Re. Source: the Alexandria database, functional PBE.

```
ZrCu2Re
1.0
1.3880 0.8014 9.2531
-1.3880 0.8014 9.2531
0.0000 -1.6027 9.2531
Zr Cu Re
1 2 1
direct
0.0000 0.0000 0.0000
0.2443 0.2443 0.2443
0.7557 0.7557 0.7557
0.5000 0.5000 0.5000
```

Computed properties:
Energy relative to the elements   1.38 eV per formula unit
DOS at the Fermi energy   5.4 states/eV/f.u.
E   -0.255 hartree per atom
Total magnetic moment   0.02 μB per atom

# 5
A relaxed structure of Na5B7C3. Source: the Alexandria database, functional PBE.

```
Na5B7C3
1.0
6.9872 -2.5820 0.0000
6.9872 2.5820 0.0000
-2.7938 0.0000 8.6252
Na B C
10 14 6
direct
0.0000 0.5000 0.0000
0.0990 0.6002 0.4990
0.1966 0.7033 0.9994
0.2967 0.8034 0.5006
0.3998 0.9010 0.0010
0.5000 0.0000 0.5000
0.6002 0.0990 0.9990
0.7033 0.1966 0.4994
0.8034 0.2967 0.0006
0.9010 0.3998 0.5010
0.0310 0.1706 0.7504
0.1706 0.0310 0.2504
0.1989 0.3954 0.7496
0.3026 0.5035 0.2493
0.3834 0.6166 0.7500
0.3954 0.1989 0.2496
0.4965 0.6974 0.2507
0.5035 0.3026 0.7493
0.6046 0.8011 0.7504
0.6166 0.3834 0.2500
0.6974 0.4965 0.7507
0.8011 0.6046 0.2504
0.8294 0.9690 0.7496
0.9690 0.8294 0.2496
0.0893 0.9107 0.7500
0.1126 0.2909 0.2502
0.2909 0.1126 0.7502
0.7091 0.8874 0.2498
0.8874 0.7091 0.7498
0.9107 0.0893 0.2500
```

Computed properties:
Energy relative to the elements   2.22 eV per formula unit
DOS at the Fermi energy   2.4 states/eV/f.u.
E   -0.193 hartree per atom
Total magnetic moment   0.00 μB per atom

# 6
A relaxed structure of ScFeTc2. Source: the Alexandria database, functional PBE.

```
ScFeTc2
1.0
2.6742 -4.3977 0.0000
2.6742 4.3977 0.0000
-0.9546 0.0000 2.5470
Sc Fe Tc
1 1 2
direct
0.0000 0.0000 0.0000
0.5000 0.5000 0.0000
0.0000 0.5000 0.5000
0.5000 0.0000 0.5000
```

Computed properties:
Energy relative to the elements   0.21 eV per formula unit
DOS at the Fermi energy   3.6 states/eV/f.u.
E   -0.324 hartree per atom
Total magnetic moment   0.57 μB per atom

# 7
A relaxed structure of CaNdSmEr. Source: the Alexandria database, functional PBE.

```
CaNdSmEr
1.0
0.0000 4.1100 4.1100
4.1100 0.0000 4.1100
4.1100 4.1100 0.0000
Ca Nd Sm Er
1 1 1 1
direct
0.0000 0.0000 0.0000
0.2500 0.2500 0.2500
0.7500 0.7500 0.7500
0.5000 0.5000 0.5000
```

Computed properties:
Energy relative to the elements   0.50 eV per formula unit
DOS at the Fermi energy   6.4 states/eV/f.u.
E   -0.143 hartree per atom
Total magnetic moment   0.00 μB per atom

# 8
A relaxed structure of Y3AlGe. Source: the Alexandria database, functional PBE.

```
Y3AlGe
1.0
4.1116 0.0000 0.0000
2.0459 7.5948 0.0000
0.0059 0.3360 8.3826
Y Al Ge
6 2 2
direct
0.0504 0.3995 0.1801
0.2363 0.0269 0.8216
0.4047 0.6881 0.4139
0.5953 0.3119 0.5861
0.7637 0.9731 0.1784
0.9496 0.6005 0.8199
0.2068 0.0873 0.4334
0.7932 0.9127 0.5666
0.3921 0.7152 0.0625
0.6079 0.2848 0.9375
```

Computed properties:
Energy relative to the elements   -2.37 eV per formula unit
DOS at the Fermi energy   4.3 states/eV/f.u.
E   -0.221 hartree per atom
Total magnetic moment   0.00 μB per atom

# 9
A relaxed structure of K2Sn3Au. Source: the Alexandria database, functional PBE.

```
K2Sn3Au
1.0
0.0000 5.3404 8.3193
4.8041 0.0000 8.3193
4.8041 5.3404 0.0000
K Sn Au
4 6 2
direct
0.2458 0.7542 0.2458
0.2500 0.2500 0.2500
0.7500 0.7500 0.7500
0.7542 0.2458 0.7542
0.1583 0.6713 0.8417
0.3294 0.3294 0.6706
0.3287 0.8417 0.6713
0.6713 0.1583 0.3287
0.6706 0.6706 0.3294
0.8417 0.3287 0.1583
0.1671 0.1671 0.8329
0.8329 0.8329 0.1671
```

Computed properties:
Energy relative to the elements   -1.49 eV per formula unit
DOS at the Fermi energy   2.3 states/eV/f.u.
E   -0.116 hartree per atom
Total magnetic moment   0.00 μB per atom

# 10
A relaxed structure of RbCaCdPd2. Source: the Alexandria database, functional PBE.

```
RbCaCdPd2
1.0
5.2902 0.0000 0.0000
0.0000 5.2902 0.0000
0.0000 0.0000 5.5109
Rb Ca Cd Pd
1 1 1 2
direct
0.0000 0.0000 0.0000
0.5000 0.5000 0.0000
0.5000 0.5000 0.5000
0.0000 0.5000 0.5000
0.5000 0.0000 0.5000
```

Computed properties:
Energy relative to the elements   1.16 eV per formula unit
DOS at the Fermi energy   2.7 states/eV/f.u.
E   -0.096 hartree per atom
Total magnetic moment   0.00 μB per atom

# 11
A relaxed structure of In2Ag4Au. Source: the Alexandria database, functional PBE.

```
In2Ag4Au
1.0
-4.1576 4.1576 4.2211
4.1576 -4.1576 4.2211
4.1576 4.1576 -4.2211
In Ag Au
4 8 2
direct
0.3750 0.0054 0.1304
0.7554 0.6250 0.6304
0.8750 0.2446 0.8696
0.9946 0.1250 0.3696
0.1312 0.0452 0.7472
0.1340 0.5480 0.7528
0.2980 0.3840 0.2528
0.4520 0.2048 0.5860
0.6160 0.8688 0.9140
0.6188 0.8660 0.4140
0.7952 0.3812 0.2472
0.9548 0.7020 0.0860
0.2500 0.7500 0.5000
0.5000 0.5000 0.0000
```

Computed properties:
Energy relative to the elements   0.55 eV per formula unit
DOS at the Fermi energy   2.6 states/eV/f.u.
E   -0.103 hartree per atom
Total magnetic moment   0.00 μB per atom

# 12
A relaxed structure of ThRhBr. Source: the Alexandria database, functional PBE.

```
ThRhBr
1.0
3.6630 0.0000 0.0000
0.0007 4.0688 0.0000
1.7533 0.0418 11.7559
Th Rh Br
2 2 2
direct
0.0772 0.2517 0.3393
0.9228 0.7483 0.6607
0.4619 0.2493 0.5779
0.5381 0.7507 0.4221
0.3276 0.7438 0.8599
0.6724 0.2562 0.1401
```

Computed properties:
DOS at the Fermi energy   0.7 states/eV/f.u.
E   -0.242 hartree per atom
Total magnetic moment   0.00 μB per atom
Uncorrected formation energy   -25.49 kcal/mol of atoms

# 13
A relaxed structure of PaFe3B3. Source: the Alexandria database, functional PBE.

```
PaFe3B3
1.0
5.4790 0.0000 0.0000
0.0000 5.4790 0.0000
0.0000 0.0000 5.4790
Pa Fe B
2 6 6
direct
0.0000 0.0000 0.0000
0.5000 0.5000 0.5000
0.0000 0.2500 0.5000
0.0000 0.7500 0.5000
0.2500 0.5000 0.0000
0.5000 0.0000 0.2500
0.5000 0.0000 0.7500
0.7500 0.5000 0.0000
0.0000 0.5000 0.2500
0.0000 0.5000 0.7500
0.2500 0.0000 0.5000
0.5000 0.2500 0.0000
0.5000 0.7500 0.0000
0.7500 0.0000 0.5000
```

Computed properties:
Energy relative to the elements   -0.14 eV per formula unit
DOS at the Fermi energy   6.1 states/eV/f.u.
E   -0.289 hartree per atom
Total magnetic moment   0.00 μB per atom

# 14
A relaxed structure of Sr2IrN2. Source: the Alexandria database, functional PBE.

```
Sr2IrN2
1.0
-2.8435 2.8435 2.7014
2.8435 -2.8435 2.7014
2.8435 2.8435 -2.7014
Sr Ir N
2 1 2
direct
0.2500 0.7500 0.5000
0.7500 0.2500 0.5000
0.0000 0.0000 0.0000
0.3798 0.3798 0.0000
0.6202 0.6202 0.0000
```

Computed properties:
DOS at the Fermi energy   1.9 states/eV/f.u.
E   -0.202 hartree per atom
Total magnetic moment   0.00 μB per atom
Uncorrected formation energy   6.41 kcal/mol of atoms

# 15
A relaxed structure of La15YTm4. Source: the Alexandria database, functional PBE.

```
La15YTm4
1.0
5.1935 0.0000 0.0000
0.0000 5.1935 0.0000
0.0000 0.0000 25.9700
La Y Tm
15 1 4
direct
0.0000 0.0000 0.0000
0.0000 0.0000 0.2005
0.0000 0.0000 0.4000
0.0000 0.0000 0.6000
0.0000 0.0000 0.7995
0.0000 0.5000 0.1009
0.0000 0.5000 0.3003
0.0000 0.5000 0.5000
0.0000 0.5000 0.6997
0.0000 0.5000 0.8991
0.5000 0.0000 0.1009
0.5000 0.0000 0.3003
0.5000 0.0000 0.5000
0.5000 0.0000 0.6997
0.5000 0.0000 0.8991
0.5000 0.5000 0.0000
0.5000 0.5000 0.2005
0.5000 0.5000 0.4000
0.5000 0.5000 0.6000
0.5000 0.5000 0.7995
```

Computed properties:
Energy relative to the elements   0.12 eV per formula unit
DOS at the Fermi energy   23.2 states/eV/f.u.
E   -0.180 hartree per atom
Total magnetic moment   0.00 μB per atom

# 16
A relaxed structure of K3C4. Source: the Alexandria database, functional PBE.

```
K3C4
1.0
6.1220 0.0000 0.0000
0.0000 6.1220 0.0000
0.0000 0.0000 6.1220
K C
3 4
direct
0.0000 0.0000 0.5000
0.0000 0.5000 0.0000
0.5000 0.0000 0.0000
0.0000 0.0000 0.0000
0.0000 0.5000 0.5000
0.5000 0.0000 0.5000
0.5000 0.5000 0.0000
```

Computed properties:
Energy relative to the elements   21.26 eV per formula unit
DOS at the Fermi energy   7.9 states/eV/f.u.
E   -0.099 hartree per atom
Total magnetic moment   1.57 μB per atom

# 17
A relaxed structure of Sr2ErPt3O12. Source: the Alexandria database, functional PBE.

```
Sr2ErPt3O12
1.0
3.6297 2.0956 5.3146
-3.6297 2.0956 5.3146
0.0000 -4.1912 5.3146
Sr Er Pt O
2 1 3 12
direct
0.1133 0.1133 0.1133
0.8867 0.8867 0.8867
0.5000 0.5000 0.5000
0.0000 0.5000 0.5000
0.5000 0.0000 0.5000
0.5000 0.5000 0.0000
0.0924 0.6370 0.6370
0.2133 0.2133 0.6385
0.2133 0.6385 0.2133
0.3615 0.7867 0.7867
0.3630 0.3630 0.9076
0.3630 0.9076 0.3630
0.6370 0.0924 0.6370
0.6370 0.6370 0.0924
0.6385 0.2133 0.2133
0.7867 0.3615 0.7867
0.7867 0.7867 0.3615
0.9076 0.3630 0.3630
```

Computed properties:
DOS at the Fermi energy   12.3 states/eV/f.u.
E   -0.222 hartree per atom
Total magnetic moment   0.25 μB per atom
Uncorrected formation energy   -29.43 kcal/mol of atoms

# 18
A relaxed structure of KNaZrS3. Source: the Alexandria database, functional PBE.

```
KNaZrS3
1.0
3.5387 -6.9267 0.0000
3.5387 6.9267 0.0000
-1.3928 0.0000 6.6819
K Na Zr S
2 2 2 6
direct
0.2488 0.7512 0.7500
0.7512 0.2488 0.2500
0.0762 0.9238 0.2500
0.9238 0.0762 0.7500
0.4455 0.5545 0.2500
0.5545 0.4455 0.7500
0.2264 0.3099 0.4996
0.2736 0.7264 0.2500
0.3099 0.2264 0.9996
0.6901 0.7736 0.0004
0.7264 0.2736 0.7500
0.7736 0.6901 0.5004
```

Computed properties:
DOS at the Fermi energy   0.0 states/eV/f.u.
E   -0.196 hartree per atom
Total magnetic moment   0.00 μB per atom
Uncorrected formation energy   -33.05 kcal/mol of atoms

# 19
A relaxed structure of AlCo2Sn. Source: the Alexandria database, functional PBE.

```
AlCo2Sn
1.0
4.0986 0.0000 0.0000
0.0000 4.0986 0.0000
0.0000 0.0000 3.2196
Al Co Sn
1 2 1
direct
0.0000 0.0000 0.0000
0.0000 0.5000 0.5000
0.5000 0.0000 0.5000
0.5000 0.5000 0.0000
```

Computed properties:
Energy relative to the elements   -0.71 eV per formula unit
DOS at the Fermi energy   2.4 states/eV/f.u.
E   -0.208 hartree per atom
Total magnetic moment   0.06 μB per atom

# 20
A relaxed structure of AcLaSe3. Source: the Alexandria database, functional PBE.

```
AcLaSe3
1.0
4.4013 0.0000 0.0000
0.0000 7.3068 0.0000
0.0000 0.0000 9.5288
Ac La Se
2 2 6
direct
0.2500 0.2500 0.1475
0.7500 0.7500 0.8525
0.2500 0.7500 0.3988
0.7500 0.2500 0.6012
0.2500 0.5191 0.6681
0.2500 0.7500 0.0719
0.2500 0.9809 0.6681
0.7500 0.0191 0.3319
0.7500 0.2500 0.9281
0.7500 0.4809 0.3319
```

Computed properties:
E   -0.217 hartree per atom
Total magnetic moment   0.00 μB per atom
Uncorrected formation energy   -46.32 kcal/mol of atoms